1.
Crystalline BaScCu2 at its relaxed geometry. Source: Alexandria, functional GGA-PBE.

Cell and atoms, written as CIF:
```
data_BaScCu2
_cell_length_a 3.727
_cell_length_b 4.720
_cell_length_c 5.904
_cell_angle_alpha 90.00
_cell_angle_beta 90.00
_cell_angle_gamma 90.00
_symmetry_space_group_name_H-M 'P m m m'
_symmetry_Int_Tables_number 47
_symmetry_space_group_name_Hall '-P 2 2'
loop_
_atom_site_label
_atom_site_fract_x
_atom_site_fract_y
_atom_site_fract_z
Ba1 0.000 0.000 0.000
Sc1 0.500 0.500 0.500
Cu1 0.000 0.000 0.500
Cu2 0.500 0.500 0.000
```

**Final energy**: -3.786 eV/atom
**D(E_F)**: 4.26 states/eV/f.u.
**Total magnetization**: 0.00 μB/cell
**ΔH_f (0 K)**: 1.30 eV per formula unit

2.
Crystalline KNiSn3 at its relaxed geometry. Source: Alexandria, functional GGA-PBE.

Cell and atoms, written as CIF:
```
data_KNiSn3
_cell_length_a 5.769
_cell_length_b 5.769
_cell_length_c 5.769
_cell_angle_alpha 90.00
_cell_angle_beta 90.00
_cell_angle_gamma 90.00
_symmetry_space_group_name_H-M 'P m -3 m'
_symmetry_Int_Tables_number 221
_symmetry_space_group_name_Hall '-P 4 2 3'
loop_
_atom_site_label
_atom_site_fract_x
_atom_site_fract_y
_atom_site_fract_z
K1 0.000 0.000 0.000
Ni1 0.500 0.500 0.500
Sn1 0.000 0.000 0.500
```

**Final energy**: -2.095 eV/atom
**D(E_F)**: 7.73 states/eV/f.u.
**Total magnetization**: 0.00 μB/cell
**ΔH_f (0 K)**: 8.41 eV per formula unit